# Zr3Zn3Rh2

A relaxed Zr3Zn3Rh2 crystal (PBE, the Alexandria database).

Output
total magnetic moment: 0.000 μB/f.u.
ΔH_f (0 K): -0.512 eV per atom

a = 3.3940 Å, b = 7.0600 Å, c = 7.0600 Å
α = 120.00°, β = 90.00°, γ = 90.00°
With the nearest neighbours (Å) after each atom.
Element x y z (fractional)
Zn1 0.0000 0.2264 0.0000  2 Zn 2.77, 2 Rh 2.81, 6 Zr 3.05-3.06
Zn2 0.0000 0.7736 0.7736  2 Zn 2.77, 2 Rh 2.81, 6 Zr 3.05-3.06
Zn3 0.0000 0.0000 0.2264  2 Zn 2.77, 2 Rh 2.81, 6 Zr 3.05-3.06
Zr1 0.5000 0.4137 0.4137  4 Rh 2.72
Zr2 0.5000 0.0000 0.5863  4 Rh 2.72
Zr3 0.5000 0.5863 0.0000  4 Rh 2.72
Rh1 0.0000 0.6667 0.3333  6 Zr 2.72, 3 Zn 2.81
Rh2 0.0000 0.3333 0.6667  6 Zr 2.72, 3 Zn 2.81

# Zr3ZnRh4

A relaxed Zr3ZnRh4 crystal (PBE, the Alexandria database).

Output
total magnetic moment: 0.000 μB/f.u.
ΔH_f (0 K): -0.746 eV per atom

a = 4.5844 Å, b = 4.5844 Å, c = 7.9615 Å
α = 73.27°, β = 73.27°, γ = 60.00°
With the nearest neighbours (Å) after each atom.
Element x y z (fractional)
Zn1 0.0000 0.0000 0.0000  8 Rh 2.84-2.87, 6 Zr 3.16
Rh1 0.1276 0.1276 0.6172  7 Zr 2.79-2.92, 1 Zn 2.87
Rh2 0.8724 0.8724 0.3828  7 Zr 2.79-2.92, 1 Zn 2.87
Rh3 0.6211 0.6211 0.1367  5 Zr 2.73-2.74, 3 Zn 2.84
Rh4 0.3789 0.3789 0.8633  5 Zr 2.73-2.74, 3 Zn 2.84
Zr1 0.2571 0.2571 0.2288  8 Rh 2.74-2.92
Zr2 0.7429 0.7429 0.7712  8 Rh 2.74-2.92
Zr3 0.5000 0.5000 0.5000  8 Rh 2.73-2.79

# Zr3Zn3Rh

A relaxed Zr3Zn3Rh crystal (PBE, the Alexandria database).

Output
total magnetic moment: 0.000 μB/f.u.
ΔH_f (0 K): -0.226 eV per atom

a = 9.1874 Å, b = 9.1873 Å, c = 9.1873 Å
α = 60.00°, β = 60.00°, γ = 60.00°
With the nearest neighbours (Å) after each atom.
Element x y z (fractional)
Zn1 0.7600 0.4133 0.4133  3 Zn 2.84, 6 Zr 2.94-3.10
Zn2 0.4133 0.7600 0.4133  3 Zn 2.84, 6 Zr 2.94-3.10
Zn3 0.8367 0.4900 0.8367  3 Zn 2.84, 6 Zr 2.94-3.10
Zn4 0.1250 0.6250 0.6250  6 Zn 2.84, 6 Zr 3.02
Zn5 0.6250 0.1250 0.6250  6 Zn 2.84, 6 Zr 3.02
Zn6 0.4900 0.8367 0.8367  3 Zn 2.84, 6 Zr 2.94-3.10
Zn7 0.4133 0.4133 0.7600  3 Zn 2.84, 6 Zr 2.94-3.10
Zn8 0.6250 0.6250 0.1250  6 Zn 2.84, 6 Zr 3.02
Zn9 0.4133 0.4133 0.4133  3 Zn 2.84, 6 Zr 2.94-3.10
Zn10 0.6250 0.6250 0.6250  6 Zn 2.84, 6 Zr 3.02
Zn11 0.8367 0.8367 0.4900  3 Zn 2.84, 6 Zr 2.94-3.10
Zn12 0.8367 0.8367 0.8367  3 Zn 2.84, 6 Zr 2.94-3.10
Zr1 0.4736 0.0264 0.0264  2 Rh 2.63, 2 Zn 2.94
Zr2 0.2236 0.7764 0.7764  2 Rh 2.63, 2 Zn 2.94
Zr3 0.0264 0.4736 0.0264  2 Rh 2.63, 2 Zn 2.94
Zr4 0.0264 0.4736 0.4736  2 Rh 2.63, 2 Zn 2.94
Zr5 0.4736 0.4736 0.0264  2 Rh 2.63, 2 Zn 2.94
Zr6 0.7764 0.2236 0.7764  2 Rh 2.63, 2 Zn 2.94
Zr7 0.7764 0.2236 0.2236  2 Rh 2.63, 2 Zn 2.94
Zr8 0.7764 0.7764 0.2236  2 Rh 2.63, 2 Zn 2.94
Zr9 0.0264 0.0264 0.4736  2 Rh 2.63, 2 Zn 2.94
Zr10 0.2236 0.7764 0.2236  2 Rh 2.63, 2 Zn 2.94
Zr11 0.4736 0.0264 0.4736  2 Rh 2.63, 2 Zn 2.94
Zr12 0.2236 0.2236 0.7764  2 Rh 2.63, 2 Zn 2.94
Rh1 0.1250 0.1250 0.6250  6 Zr 2.63
Rh2 0.1250 0.1250 0.1250  6 Zr 2.63
Rh3 0.6250 0.1250 0.1250  6 Zr 2.63
Rh4 0.1250 0.6250 0.1250  6 Zr 2.63

# ZrZn2Rh

A relaxed ZrZn2Rh crystal (PBE, the Alexandria database).

Output
total magnetic moment: 0.000 μB/f.u.
ΔH_f (0 K): -0.336 eV per atom

a = 4.0879 Å, b = 2.9778 Å, c = 5.6019 Å
α = 72.64°, β = 90.00°, γ = 90.00°
With the nearest neighbours (Å) after each atom.
Element x y z (fractional)
Zn1 0.0000 0.2169 0.9936  2 Zn 2.43, 1 Zr 2.70
Zn2 0.5000 0.0526 0.2381  2 Zn 2.43
Rh1 0.5000 0.8186 0.7774  7 Zn 2.75-2.89, 4 Zr 2.86-3.06, 2 Rh 2.98
Zr1 0.0000 0.4119 0.4909  6 Zn 2.70-3.01, 2 Rh 2.86, 2 Zr 2.98

# Zr7Zn2Rh2

A relaxed Zr7Zn2Rh2 crystal (PBE, the Alexandria database).

Output
total magnetic moment: 0.001 μB/f.u.
ΔH_f (0 K): -0.060 eV per atom

a = 6.2067 Å, b = 6.5806 Å, c = 6.2067 Å
α = 90.00°, β = 106.90°, γ = 90.00°
With the nearest neighbours (Å) after each atom.
Element x y z (fractional)
Zn1 0.8335 0.5000 0.8335  1 Zn 2.46
Zn2 0.1665 0.5000 0.1665  1 Zn 2.46
Rh1 0.7205 0.0000 0.2795  7 Zr 2.58-2.82
Rh2 0.2795 0.0000 0.7205  7 Zr 2.58-2.82
Zr1 0.5000 0.2678 0.5000  2 Rh 2.82, 2 Zn 2.90, 5 Zr 3.06-3.10
Zr2 0.0000 0.2692 0.5000  2 Rh 2.58
Zr3 0.5000 0.2692 0.0000  2 Rh 2.58
Zr4 0.0000 0.0000 0.0000  2 Rh 2.79
Zr5 0.5000 0.7322 0.5000  2 Rh 2.82, 2 Zn 2.90, 5 Zr 3.06-3.10
Zr6 0.5000 0.7308 0.0000  2 Rh 2.58
Zr7 0.0000 0.7308 0.5000  2 Rh 2.58

# ZrZn2Rh

A relaxed ZrZn2Rh crystal (PBE, the Alexandria database).

Output
total magnetic moment: 0.000 μB/f.u.
ΔH_f (0 K): -0.345 eV per atom

a = 2.9698 Å, b = 3.4077 Å, c = 6.3782 Å
α = 90.00°, β = 90.00°, γ = 90.00°
With the nearest neighbours (Å) after each atom.
Element x y z (fractional)
Zr1 0.5000 0.5000 0.2500  8 Zn 2.92, 2 Zr 2.97, 2 Rh 3.19
Zn1 0.0000 0.0000 0.5407  4 Rh 2.63, 1 Zn 2.67, 4 Zr 2.92
Zn2 0.0000 0.0000 0.9593  4 Rh 2.63, 1 Zn 2.67, 4 Zr 2.92
Rh1 0.5000 0.5000 0.7500  8 Zn 2.63

# Zr4Zn3Rh

A relaxed Zr4Zn3Rh crystal (PBE, the Alexandria database).

Output
total magnetic moment: 0.000 μB/f.u.
ΔH_f (0 K): -0.397 eV per atom

a = 3.3612 Å, b = 3.3612 Å, c = 13.0851 Å
α = 90.00°, β = 90.00°, γ = 90.00°
With the nearest neighbours (Å) after each atom.
Element x y z (fractional)
Rh1 0.5000 0.5000 0.0000  8 Zr 2.86
Zr1 0.0000 0.0000 0.3738  8 Zn 2.89
Zr2 0.0000 0.0000 0.8786  4 Rh 2.86, 4 Zn 2.90, 1 Zr 3.18
Zr3 0.0000 0.0000 0.1214  4 Rh 2.86, 4 Zn 2.90, 1 Zr 3.18
Zr4 0.0000 0.0000 0.6262  8 Zn 2.89
Zn1 0.5000 0.5000 0.2481  8 Zr 2.89-2.90
Zn2 0.5000 0.5000 0.7519  8 Zr 2.89-2.90
Zn3 0.5000 0.5000 0.5000  8 Zr 2.89

# Zr2ZnRh

A relaxed Zr2ZnRh crystal (PBE, the Alexandria database).

Output
total magnetic moment: 0.000 μB/f.u.
ΔH_f (0 K): -0.484 eV per atom

a = 7.3907 Å, b = 4.6377 Å, c = 3.4162 Å
α = 90.01°, β = 62.43°, γ = 128.83°
With the nearest neighbours (Å) after each atom.
Element x y z (fractional)
Zn1 0.5000 0.5000 0.0000  8 Zr 2.88
Zr1 0.5000 0.0000 0.5000  4 Rh 2.88, 4 Zn 2.88
Zr2 0.0000 0.0000 0.0000  4 Zn 2.88, 4 Rh 2.88
Rh1 0.0000 0.5000 0.5000  8 Zr 2.88

Number 5 is which compound? Zr7Zn2Rh2